Below is AsSF3 at its PBEsol-relaxed geometry, with properties calculated at the SCAN level.

abc: 4.2147 4.2147 4.2147
angles: 90.00 90.00 90.00
Last column: nearest neighbours and their distance in Å.
Fractional positions:
As1 0.5000 0.5000 0.5000  12 F 2.98
F1 0.0000 0.5000 0.0000  2 S 2.11
F2 0.0000 0.0000 0.5000  2 S 2.11
F3 0.5000 0.0000 0.0000  2 S 2.11
S1 0.0000 0.0000 0.0000  6 F 2.11

Summary:
Its space group is Pm-3m, No. 221. The value obtained for the energy relative to the elements, uncorrected is 3 meV per atom. The calculation puts the density of states at the Fermi level at 5.9 states/eV/cell.

---

Below is SbAs3Se4F6 at its PBEsol-relaxed geometry, with properties calculated at the SCAN level.

abc: 6.2079 9.5671 10.4871
angles: 90.00 92.02 90.00
Last column: nearest neighbours and their distance in Å.
Fractional positions:
Sb1 0.5103 0.2500 0.8357  6 F 1.91-1.92
Sb2 0.4897 0.7500 0.1643  6 F 1.91-1.92
Se1 0.1454 0.0601 0.3520  2 As 2.34-2.39
Se2 0.1454 0.4399 0.3520  2 As 2.34-2.39
Se3 0.3226 0.7500 0.5549  1 Se 2.32, 1 As 2.41
Se4 0.8546 0.9399 0.6480  2 As 2.34-2.39
Se5 0.6588 0.2500 0.2237  1 Se 2.32, 2 As 2.50
Se6 0.6774 0.2500 0.4451  1 Se 2.32, 1 As 2.41
Se7 0.8546 0.5601 0.6480  2 As 2.34-2.39
Se8 0.3412 0.7500 0.7763  1 Se 2.32, 2 As 2.50
As1 0.0158 0.8803 0.8455  2 Se 2.34-2.50, 1 As 2.49
As2 0.9842 0.3803 0.1545  2 Se 2.34-2.50, 1 As 2.49
As3 0.0601 0.2500 0.4896  3 Se 2.39-2.41
As4 0.0158 0.6197 0.8455  2 Se 2.34-2.50, 1 As 2.49
As5 0.9842 0.1197 0.1545  2 Se 2.34-2.50, 1 As 2.49
As6 0.9399 0.7500 0.5104  3 Se 2.39-2.41
F1 0.6959 0.7500 0.0334  1 Sb 1.91
F2 0.2761 0.7500 0.2927  1 Sb 1.92
F3 0.3545 0.3914 0.7437  1 Sb 1.91
F4 0.3246 0.6104 0.0733  1 Sb 1.92
F5 0.6455 0.8914 0.2563  1 Sb 1.91
F6 0.6754 0.3896 0.9267  1 Sb 1.92
F7 0.3545 0.1086 0.7437  1 Sb 1.91
F8 0.6754 0.1104 0.9267  1 Sb 1.92
F9 0.3041 0.2500 0.9666  1 Sb 1.91
F10 0.3246 0.8896 0.0733  1 Sb 1.92
F11 0.7239 0.2500 0.7073  1 Sb 1.92
F12 0.6455 0.6086 0.2563  1 Sb 1.91

Summary:
Its space group is P2_1/m, No. 11. The value obtained for the energy relative to the elements, uncorrected is -1318 meV per atom. The calculation puts the density of states at the Fermi level at 0.0 states/eV/cell.

---

Below is SrSb2AsF at its PBEsol-relaxed geometry, with properties calculated at the SCAN level.

abc: 5.4798 5.9093 5.9093
angles: 90.00 90.00 90.00
Last column: nearest neighbours and their distance in Å.
Fractional positions:
Sb1 0.0000 0.0000 0.5000  2 Sr 2.95
Sb2 0.0000 0.5000 0.0000  2 Sr 2.95
As1 0.5000 0.0000 0.0000  2 Sr 2.74
F1 0.5000 0.5000 0.5000  8 Sb 4.03, 4 As 4.18
Sr1 0.0000 0.0000 0.0000  2 As 2.74, 4 Sb 2.95

Summary:
Its space group is P4/mmm, No. 123. The value obtained for the energy relative to the elements, uncorrected is 829 meV per atom. The calculation puts the density of states at the Fermi level at 6.5 states/eV/cell.

---

Below is Sc3AsF at its PBEsol-relaxed geometry, with properties calculated at the SCAN level.

abc: 5.0377 5.0377 5.0377
angles: 90.00 90.00 90.00
Last column: nearest neighbours and their distance in Å.
Fractional positions:
As1 0.0000 0.0000 0.0000  6 Sc 2.52
Sc1 0.0000 0.5000 0.0000  2 As 2.52
Sc2 0.5000 0.0000 0.0000  2 As 2.52
Sc3 0.0000 0.0000 0.5000  2 As 2.52
F1 0.5000 0.5000 0.5000  12 Sc 3.56

Summary:
Its space group is Pm-3m, No. 221. The value obtained for the energy relative to the elements, uncorrected is -420 meV per atom. The calculation puts the density of states at the Fermi level at 5.1 states/eV/cell.

---

Below is AsSe3F at its PBEsol-relaxed geometry, with properties calculated at the SCAN level.

abc: 4.9137 4.9137 4.9137
angles: 90.00 90.00 90.00
Last column: nearest neighbours and their distance in Å.
Fractional positions:
Se1 0.0000 0.0000 0.5000  2 As 2.46
Se2 0.0000 0.5000 0.0000  2 As 2.46
Se3 0.5000 0.0000 0.0000  2 As 2.46
As1 0.0000 0.0000 0.0000  6 Se 2.46
F1 0.5000 0.5000 0.5000  12 Se 3.47

Summary:
Its space group is Pm-3m, No. 221. The value obtained for the energy relative to the elements, uncorrected is 541 meV per atom. The calculation puts the density of states at the Fermi level at 5.6 states/eV/cell.

---

Below is Si3AsF at its PBEsol-relaxed geometry, with properties calculated at the SCAN level.

abc: 4.3976 4.3976 4.3976
angles: 90.00 90.00 90.00
Last column: nearest neighbours and their distance in Å.
Fractional positions:
Si1 0.5000 0.0000 0.0000  2 F 2.20
Si2 0.0000 0.5000 0.0000  2 F 2.20
Si3 0.0000 0.0000 0.5000  2 F 2.20
As1 0.5000 0.5000 0.5000  12 Si 3.11
F1 0.0000 0.0000 0.0000  6 Si 2.20

Summary:
Its space group is Pm-3m, No. 221. The value obtained for the energy relative to the elements, uncorrected is 701 meV per atom. The calculation puts the density of states at the Fermi level at 2.5 states/eV/cell.

---

Below is SnAs2F at its PBEsol-relaxed geometry, with properties calculated at the SCAN level.

abc: 3.7237 3.7237 11.4769
angles: 99.34 99.34 90.00
Last column: nearest neighbours and their distance in Å.
Fractional positions:
As1 0.1250 0.1569 0.7500  2 As 2.47
As2 0.4069 0.8750 0.2500  2 As 2.47
As3 0.6250 0.5931 0.7500  2 As 2.47
As4 0.8431 0.3750 0.2500  2 As 2.47
Sn1 0.2500 0.7500 0.5000  4 F 2.63
Sn2 0.0000 0.0000 0.0000  4 F 2.63
F1 0.5000 0.5000 0.0000  4 Sn 2.63
F2 0.7500 0.2500 0.5000  4 Sn 2.63

Summary:
Its space group is I-42d, No. 122. The value obtained for the energy relative to the elements, uncorrected is -489 meV per atom. The calculation puts the density of states at the Fermi level at 4.5 states/eV/cell.

---

Below is SrZnAsF at its PBEsol-relaxed geometry, with properties calculated at the SCAN level.

abc: 4.0721 4.0721 9.0291
angles: 90.00 90.00 90.00
Last column: nearest neighbours and their distance in Å.
Fractional positions:
Zn1 0.5000 0.5000 0.5000  4 As 2.55
Zn2 0.0000 0.0000 0.5000  4 As 2.55
As1 0.0000 0.5000 0.3293  4 Zn 2.55
As2 0.5000 0.0000 0.6707  4 Zn 2.55
Sr1 0.0000 0.5000 0.8454  4 F 2.47
Sr2 0.5000 0.0000 0.1546  4 F 2.47
F1 0.5000 0.5000 0.0000  4 Sr 2.47
F2 0.0000 0.0000 0.0000  4 Sr 2.47

Summary:
Its space group is P4/nmm, No. 129. The value obtained for the energy relative to the elements, uncorrected is -2067 meV per atom.

---

Below is Ta2AsF at its PBEsol-relaxed geometry, with properties calculated at the SCAN level.

abc: 4.3459 4.3459 4.3459
angles: 60.00 60.00 60.00
Last column: nearest neighbours and their distance in Å.
Fractional positions:
F1 0.0000 0.0000 0.0000  8 Ta 2.66
As1 0.5000 0.5000 0.5000  8 Ta 2.66
Ta1 0.7500 0.7500 0.7500  4 F 2.66, 4 As 2.66
Ta2 0.2500 0.2500 0.2500  4 F 2.66, 4 As 2.66

Summary:
Its space group is Fm-3m, No. 225. The value obtained for the energy relative to the elements, uncorrected is -469 meV per atom. The calculation puts the density of states at the Fermi level at 1.8 states/eV/cell.

---

Below is TaAs2F at its PBEsol-relaxed geometry, with properties calculated at the SCAN level.

abc: 5.5798 5.5798 6.8692
angles: 113.96 113.96 90.00
Last column: nearest neighbours and their distance in Å.
Fractional positions:
As1 0.1250 0.1340 0.7500  2 F 2.39, 2 Ta 2.45
As2 0.3840 0.8750 0.2500  2 F 2.39, 2 Ta 2.45
As3 0.8660 0.3750 0.2500  2 F 2.39, 2 Ta 2.45
As4 0.6250 0.6160 0.7500  2 F 2.39, 2 Ta 2.45
F1 0.7500 0.2500 0.5000  4 As 2.39
F2 0.5000 0.5000 0.0000  4 As 2.39
Ta1 0.2500 0.7500 0.5000  4 As 2.45
Ta2 0.0000 0.0000 0.0000  4 As 2.45

Summary:
Its space group is I-42d, No. 122. The value obtained for the energy relative to the elements, uncorrected is -6 meV per atom. The calculation puts the density of states at the Fermi level at 4.2 states/eV/cell.

---

Below is TeAsF2 at its PBEsol-relaxed geometry, with properties calculated at the SCAN level.

abc: 3.0950 3.0950 8.7094
angles: 79.77 79.77 60.00
Last column: nearest neighbours and their distance in Å.
Fractional positions:
F1 0.9188 0.9188 0.2435  1 Te 2.08
F2 0.0812 0.0812 0.7565  1 Te 2.08
As1 0.5000 0.5000 0.5000  6 F 2.82, 6 As 3.09
Te1 0.0000 0.0000 0.0000  2 F 2.08

Summary:
Its space group is R-3m, No. 166. The value obtained for the energy relative to the elements, uncorrected is -740 meV per atom. The calculation puts the density of states at the Fermi level at 1.5 states/eV/cell.